4
Lattice="3.2904 0.1669 0.0000 -0.3184 3.2792 0.0000 0.0000 0.0000 10.8424" Properties=species:S:1:pos:R:3 comment="Tl2SnHg, optimized geometry, DFT PBE" e_form_kj_per_mol_atoms=2 relative_energy_mev_per_atom=7.7 rho_g_cm3=10.28 pbc="T T T"
Sn 1.4860 1.7231 0.0000
Tl 0.0000 0.0000 8.1313
Tl 0.0000 0.0000 2.7111
Hg 1.4860 1.7231 5.4212